VASP calculation (SCAN) on a PBEsol-optimized structure of FeIrCl2.

Results
The energy relative to the elements, uncorrected is 0.53 eV/atom. For the energy above the most stable polymorph in this dataset, the calculation gives 0.262 eV/atom.

a b c (Å): 2.839 5.026 5.026
angles (deg): 65.03 73.59 73.59
Fractional positions:
Ir  0.000  0.500  0.500
Fe  0.500  0.000  0.000
Cl  0.246  0.754  0.754
Cl  0.754  0.246  0.246

=====

VASP calculation (SCAN) on a PBEsol-optimized structure of MgTc2Pt.

Results
The formation energy comes out at -15.6 kJ per mole of atoms.

a b c (Å): 2.700 4.651 4.971
angles (deg): 96.74 90.00 106.87
Fractional positions:
Mg  0.492  0.983  0.474
Pt  0.744  0.487  0.278
Tc  0.013  0.026  0.966
Tc  0.252  0.503  0.782

=====

VASP calculation (SCAN) on a PBEsol-optimized structure of LiCuHSO5.

Results
The calculation puts the final energy at -151.313 eV/cell.

a b c (Å): 4.608 5.625 7.623
angles (deg): 90.00 85.75 90.00
Fractional positions:
Li  0.206  0.750  0.656
Li  0.794  0.250  0.344
Cu  0.000  0.000  0.000
Cu  0.000  0.500  0.000
H  0.686  0.750  0.829
H  0.314  0.250  0.171
S  0.579  0.250  0.741
S  0.421  0.750  0.259
O  0.742  0.250  0.913
O  0.895  0.750  0.849
O  0.400  0.033  0.752
O  0.400  0.467  0.752
O  0.793  0.250  0.591
O  0.207  0.750  0.409
O  0.600  0.533  0.248
O  0.600  0.967  0.248
O  0.105  0.250  0.151
O  0.258  0.750  0.087

=====

VASP calculation (SCAN) on a PBEsol-optimized structure of Ca3MgNb.

Results
The formation energy comes out at 85.7 kJ per mole of atoms.

a b c (Å): 5.522 5.522 5.522
angles (deg): 90.00 90.00 90.00
Fractional positions:
Mg  0.500  0.500  0.500
Nb  0.000  0.000  0.000
Ca  0.000  0.500  0.000
Ca  0.000  0.000  0.500
Ca  0.500  0.000  0.000

=====

VASP calculation (SCAN) on a PBEsol-optimized structure of CsZr2SiSn.

Results
The energy relative to the elements, uncorrected is 1.35 eV/atom.

a b c (Å): 5.394 5.394 6.160
angles (deg): 90.00 90.00 90.00
Fractional positions:
Cs  0.000  0.000  0.500
Si  0.500  0.500  0.500
Sn  0.000  0.000  0.000
Zr  0.000  0.500  0.000
Zr  0.500  0.000  0.000

=====

VASP calculation (SCAN) on a PBEsol-optimized structure of CoSnGe2F.

Results
The energy relative to the elements, uncorrected is 0.78 eV/atom.

a b c (Å): 4.763 5.239 5.239
angles (deg): 90.00 90.00 90.00
Fractional positions:
Ge  0.000  0.000  0.500
Ge  0.000  0.500  0.000
Co  0.500  0.000  0.000
Sn  0.000  0.000  0.000
F  0.500  0.500  0.500

=====

VASP calculation (SCAN) on a PBEsol-optimized structure of ZrCdSbI2.

Results
The energy relative to the elements, uncorrected is 0.54 eV/atom.

a b c (Å): 5.572 5.996 5.996
angles (deg): 90.00 90.00 90.00
Fractional positions:
I  0.000  0.000  0.500
I  0.000  0.500  0.000
Sb  0.000  0.000  0.000
Zr  0.500  0.000  0.000
Cd  0.500  0.500  0.500

=====

VASP calculation (SCAN) on a PBEsol-optimized structure of YSc2W.

Results
The formation energy comes out at 31.8 kJ per mole of atoms. For the energy above the most stable polymorph in this dataset, the calculation gives 0.000 eV/atom.

a b c (Å): 3.551 3.551 7.152
angles (deg): 90.00 90.00 90.00
Fractional positions:
Sc  0.000  0.000  0.050
Sc  0.500  0.500  0.287
W  0.000  0.000  0.455
Y  0.500  0.500  0.709

=====

VASP calculation (SCAN) on a PBEsol-optimized structure of TcSbTeI2.

Results
The energy relative to the elements, uncorrected is 0.57 eV/atom. For the energy above the most stable polymorph in this dataset, the calculation gives 0.000 eV/atom.

a b c (Å): 5.190 5.190 5.275
angles (deg): 90.00 90.00 90.00
Fractional positions:
I  0.000  0.500  0.000
I  0.500  0.000  0.000
Sb  0.000  0.000  0.500
Te  0.500  0.500  0.500
Tc  0.000  0.000  0.000

=====

VASP calculation (SCAN) on a PBEsol-optimized structure of Ba3Re.

Results
The formation energy comes out at 109.5 kJ per mole of atoms.

a b c (Å): 4.761 4.955 6.100
angles (deg): 90.00 90.00 90.00
Fractional positions:
Re  0.000  0.500  0.300
Ba  0.000  0.000  0.019
Ba  0.500  0.000  0.441
Ba  0.500  0.500  0.907

=====

VASP calculation (SCAN) on a PBEsol-optimized structure of NaPbSe2N.

Results
The energy relative to the elements, uncorrected is 0.70 eV/atom.

a b c (Å): 4.371 5.205 5.205
angles (deg): 90.00 90.00 90.00
Fractional positions:
Pb  0.500  0.500  0.500
Na  0.000  0.000  0.000
Se  0.000  0.000  0.500
Se  0.000  0.500  0.000
N  0.500  0.000  0.000

=====

VASP calculation (SCAN) on a PBEsol-optimized structure of LaZr5.

Results
The formation energy comes out at 9.3 kJ per mole of atoms.

a b c (Å): 3.222 3.222 15.853
angles (deg): 90.00 90.00 120.00
Fractional positions:
Zr  0.000  0.000  0.660
Zr  0.000  0.000  0.340
Zr  0.333  0.667  0.817
Zr  0.333  0.667  0.500
Zr  0.333  0.667  0.183
La  0.000  0.000  0.000

=====

VASP calculation (SCAN) on a PBEsol-optimized structure of Ti3CuGe.

Results
The formation energy comes out at 57.3 kJ per mole of atoms.

a b c (Å): 4.616 4.616 4.616
angles (deg): 90.00 90.00 90.00
Fractional positions:
Ge  0.000  0.000  0.000
Cu  0.500  0.500  0.500
Ti  0.000  0.500  0.000
Ti  0.000  0.000  0.500
Ti  0.500  0.000  0.000

=====

VASP calculation (SCAN) on a PBEsol-optimized structure of LaSc2Hg.

Results
The formation energy comes out at -25.4 kJ per mole of atoms.

a b c (Å): 3.443 4.417 6.559
angles (deg): 90.00 90.00 90.00
Fractional positions:
Hg  0.000  0.000  0.476
La  0.500  0.500  0.735
Sc  0.000  0.000  0.033
Sc  0.500  0.500  0.256

=====

VASP calculation (SCAN) on a PBEsol-optimized structure of NaBe2W.

Results
The formation energy comes out at 100.8 kJ per mole of atoms.

a b c (Å): 4.195 4.195 4.195
angles (deg): 60.00 60.00 60.00
Fractional positions:
Na  0.000  0.000  0.000
W  0.500  0.500  0.500
Be  0.250  0.250  0.250
Be  0.750  0.750  0.750

=====

VASP calculation (SCAN) on a PBEsol-optimized structure of K3InF6.

Results
The energy relative to the elements, uncorrected is -2.91 eV/atom.

a b c (Å): 8.953 8.953 8.953
angles (deg): 90.00 90.00 90.00
Fractional positions:
K  0.000  0.000  0.000
K  0.500  0.500  0.500
K  0.250  0.250  0.250
K  0.750  0.250  0.750
K  0.750  0.750  0.250
K  0.250  0.750  0.750
K  0.000  0.500  0.000
K  0.000  0.000  0.500
K  0.500  0.000  0.000
K  0.500  0.000  0.500
K  0.500  0.500  0.000
K  0.000  0.500  0.500
In  0.750  0.750  0.750
In  0.250  0.750  0.250
In  0.250  0.250  0.750
In  0.750  0.250  0.250
F  0.710  0.974  0.801
F  0.801  0.710  0.974
F  0.974  0.801  0.710
F  0.026  0.801  0.290
F  0.199  0.290  0.974
F  0.199  0.710  0.026
F  0.974  0.199  0.290
F  0.801  0.290  0.026
F  0.026  0.199  0.710
F  0.290  0.026  0.801
F  0.290  0.974  0.199
F  0.710  0.026  0.199
F  0.790  0.526  0.699
F  0.699  0.790  0.526
F  0.526  0.699  0.790
F  0.474  0.699  0.210
F  0.301  0.210  0.526
F  0.301  0.790  0.474
F  0.526  0.301  0.210
F  0.699  0.210  0.474
F  0.474  0.301  0.790
F  0.210  0.474  0.699
F  0.210  0.526  0.301
F  0.790  0.474  0.301

=====

VASP calculation (SCAN) on a PBEsol-optimized structure of ScAg2.

Results
The formation energy comes out at -34.6 kJ per mole of atoms. For the energy above the most stable polymorph in this dataset, the calculation gives 0.000 eV/atom.

a b c (Å): 3.495 3.495 5.050
angles (deg): 110.25 110.25 90.00
Fractional positions:
Sc  0.500  0.500  0.000
Ag  0.833  0.833  0.666
Ag  0.167  0.167  0.334

=====

VASP calculation (SCAN) on a PBEsol-optimized structure of Ca2CoAg.

Results
The formation energy comes out at 33.8 kJ per mole of atoms. For the energy above the most stable polymorph in this dataset, the calculation gives 0.257 eV/atom.

a b c (Å): 3.117 3.953 7.940
angles (deg): 96.85 90.00 113.22
Fractional positions:
Ca  0.742  0.484  0.718
Ca  0.258  0.516  0.282
Co  0.000  0.000  0.500
Ag  0.500  0.000  0.000

=====

VASP calculation (SCAN) on a PBEsol-optimized structure of AlZnP2.

Results
The formation energy comes out at -9.7 kJ per mole of atoms. For the energy above the most stable polymorph in this dataset, the calculation gives 0.000 eV/atom.

a b c (Å): 3.560 3.567 6.081
angles (deg): 106.50 90.00 119.94
Fractional positions:
P  0.757  0.513  0.753
P  0.243  0.487  0.247
Zn  0.000  0.000  0.500
Al  0.500  0.000  0.000

=====

VASP calculation (SCAN) on a PBEsol-optimized structure of Ti2GaC.

Results
The formation energy comes out at 44.9 kJ per mole of atoms. For the energy above the most stable polymorph in this dataset, the calculation gives 1.317 eV/atom.

a b c (Å): 4.163 4.163 4.163
angles (deg): 60.00 60.00 60.00
Fractional positions:
C  0.000  0.000  0.000
Ga  0.500  0.500  0.500
Ti  0.250  0.250  0.250
Ti  0.750  0.750  0.750

=====

Magnetic moment values (in μB/cell) by entry order: 3.0, 0.0, 1.9, 0.1, 0.0, 2.0, 2.2, 0.0, 1.3, 0.5, 4.0, 0.0, 0.0, 0.0, 1.3, 1.1, 0.0, 1.0, 0.0, 0.0.